Crystalline Ca2NiMo at its relaxed geometry. Source: the Alexandria database, functional PBE.

Its space group is P4mm. The energy above the most stable polymorph in this dataset comes out at 0.00 kcal/mol of atoms. For the formation energy, the calculation gives 0.34 eV/atom. Its crystal system is tetragonal. The total DFT energy (no corrections) comes out at -19.27 eV per cell.

a = 3.2266 Å, b = 3.2266 Å, c = 8.8558 Å
α = 90.00°, β = 90.00°, γ = 90.00°
With the nearest neighbours (Å) after each atom.
Sites, in units of the cell vectors:
Ca (0.0000, 0.0000, 0.0000)  4 Ni 3.09, 1 Mo 3.18, 4 Ca 3.23
Ca (0.5000, 0.5000, 0.3848)  4 Mo 3.22, 4 Ca 3.23, 1 Ni 3.36
Ni (0.5000, 0.5000, 0.7643)  4 Mo 2.53
Mo (0.0000, 0.0000, 0.6413)  4 Ni 2.53

***

Crystalline CaNiMo at its relaxed geometry. Source: the Alexandria database, functional PBE.

Its space group is Pnma. The energy above the most stable polymorph in this dataset comes out at 3.79 kcal/mol of atoms. For the formation energy, the calculation gives 0.33 eV/atom. Its crystal system is orthorhombic. The total DFT energy (no corrections) comes out at -70.44 eV per cell.

a = 5.0070 Å, b = 4.2733 Å, c = 10.5766 Å
α = 90.00°, β = 90.00°, γ = 90.00°
With the nearest neighbours (Å) after each atom.
Sites, in units of the cell vectors:
Ca (0.0777, 0.2500, 0.1246)  2 Ni 2.59-2.67
Ca (0.4223, 0.7500, 0.6246)  2 Ni 2.59-2.67
Ca (0.5777, 0.2500, 0.3754)  2 Ni 2.59-2.67
Ca (0.9223, 0.7500, 0.8754)  2 Ni 2.59-2.67
Ni (0.0697, 0.2500, 0.4507)  2 Ni 2.48, 3 Mo 2.51-2.53, 2 Ca 2.59-2.67
Ni (0.4303, 0.7500, 0.9507)  2 Ni 2.48, 3 Mo 2.51-2.53, 2 Ca 2.59-2.67
Ni (0.5697, 0.2500, 0.0493)  2 Ni 2.48, 3 Mo 2.51-2.53, 2 Ca 2.59-2.67
Ni (0.9303, 0.7500, 0.5493)  2 Ni 2.48, 3 Mo 2.51-2.53, 2 Ca 2.59-2.67
Mo (0.0741, 0.7500, 0.3224)  3 Ni 2.51-2.53
Mo (0.4259, 0.2500, 0.8224)  3 Ni 2.51-2.53
Mo (0.5741, 0.7500, 0.1776)  3 Ni 2.51-2.53
Mo (0.9259, 0.2500, 0.6776)  3 Ni 2.51-2.53

***

Crystalline CaNi2Mo at its relaxed geometry. Source: the Alexandria database, functional PBE.

Its space group is Fm-3m. The energy above the most stable polymorph in this dataset comes out at 6.80 kcal/mol of atoms. For the formation energy, the calculation gives 0.41 eV/atom. Its crystal system is cubic. The total DFT energy (no corrections) comes out at -22.75 eV per cell.

a = 4.4637 Å, b = 4.4637 Å, c = 4.4637 Å
α = 60.00°, β = 60.00°, γ = 60.00°
With the nearest neighbours (Å) after each atom.
Sites, in units of the cell vectors:
Ca (0.0000, 0.0000, 0.0000)  8 Ni 2.73
Ni (0.2500, 0.2500, 0.2500)  4 Mo 2.73, 4 Ca 2.73
Ni (0.7500, 0.7500, 0.7500)  4 Mo 2.73, 4 Ca 2.73
Mo (0.5000, 0.5000, 0.5000)  8 Ni 2.73

***

Crystalline CaNi3Mo at its relaxed geometry. Source: the Alexandria database, functional PBE.

Its space group is Pm-3m. The energy above the most stable polymorph in this dataset comes out at 24.90 kcal/mol of atoms. For the formation energy, the calculation gives 1.72 eV/atom. Its crystal system is cubic. The total DFT energy (no corrections) comes out at -21.59 eV per cell.

a = 4.4412 Å, b = 4.4412 Å, c = 4.4412 Å
α = 90.00°, β = 90.00°, γ = 90.00°
With the nearest neighbours (Å) after each atom.
Sites, in units of the cell vectors:
Ca (0.0000, 0.0000, 0.0000)  6 Ni 2.22
Ni (0.0000, 0.0000, 0.5000)  2 Ca 2.22
Ni (0.0000, 0.5000, 0.0000)  2 Ca 2.22
Ni (0.5000, 0.0000, 0.0000)  2 Ca 2.22
Mo (0.5000, 0.5000, 0.5000)  12 Ni 3.14